[1]
First-principles (GGA-PBE) data for TcPd5 after structural relaxation, as listed in Alexandria via LeMat-Bulk.

a = 3.930 Å, b = 3.930 Å, c = 6.220 Å
α = 108.41°, β = 90.00°, γ = 90.00°
Site moments in Bohr magnetons follow the coordinates.
Atoms (fractional coordinates):
Tc 0.000 0.000 0.000  0.75
Pd 0.500 0.837 0.673  0.06
Pd 0.000 0.661 0.322  0.03
Pd 0.500 0.500 0.000  0.07
Pd 0.000 0.339 0.678  0.03
Pd 0.500 0.163 0.327  0.06

ΔE_f (eV per atom): 0.055
Uncorrected energy (eV per cell): -36.0
D(E_F) (states/eV/f.u.): 7.577
Total magnetic moment (μB per atom): 0.1712

***

[2]
First-principles (GGA-PBE) data for TcPd after structural relaxation, as listed in Alexandria via LeMat-Bulk.

a = 2.768 Å, b = 4.377 Å, c = 4.881 Å
α = 90.00°, β = 90.00°, γ = 90.00°
Atoms (fractional coordinates):
Tc 0.750 0.750 0.584
Tc 0.250 0.250 0.416
Pd 0.250 0.750 0.086
Pd 0.750 0.250 0.914

ΔE_f (eV per atom): 0.064
Uncorrected energy (eV per cell): -30.9
D(E_F) (states/eV/f.u.): 1.856
Total magnetic moment (μB per atom): 0.0000

***

[3]
First-principles (GGA-PBE) data for Tc4Pd after structural relaxation, as listed in Alexandria via LeMat-Bulk.

a = 4.623 Å, b = 4.623 Å, c = 4.623 Å
α = 90.00°, β = 90.00°, γ = 90.00°
Site moments in Bohr magnetons follow the coordinates.
Atoms (fractional coordinates):
Tc 0.000 0.000 0.000  2.23
Tc 0.500 0.000 0.500  -0.23
Tc 0.000 0.500 0.500  -0.23
Tc 0.500 0.500 0.000  -0.23
Pd 0.500 0.500 0.500  -0.01

ΔE_f (eV per atom): 2.385
Uncorrected energy (eV per cell): -34.7
D(E_F) (states/eV/f.u.): 10.398
Total magnetic moment (μB per atom): 0.3540

***

[4]
First-principles (GGA-PBE) data for TcPd2 after structural relaxation, as listed in Alexandria via LeMat-Bulk.

a = 2.752 Å, b = 2.752 Å, c = 6.238 Å
α = 102.74°, β = 102.74°, γ = 90.00°
Atoms (fractional coordinates):
Tc 0.000 0.000 0.000
Pd 0.661 0.661 0.321
Pd 0.339 0.339 0.679

ΔE_f (eV per atom): 0.016
Uncorrected energy (eV per cell): -20.7
D(E_F) (states/eV/f.u.): 2.615
Total magnetic moment (μB per atom): 0.0000

***

[5]
First-principles (GGA-PBE) data for Tc3Pd after structural relaxation, as listed in Alexandria via LeMat-Bulk.

a = 3.879 Å, b = 3.879 Å, c = 3.879 Å
α = 90.00°, β = 90.00°, γ = 90.00°
Atoms (fractional coordinates):
Tc 0.000 0.500 0.500
Tc 0.500 0.000 0.500
Tc 0.500 0.500 0.000
Pd 0.000 0.000 0.000

ΔE_f (eV per atom): 0.067
Uncorrected energy (eV per cell): -36.0
D(E_F) (states/eV/f.u.): 4.046
Total magnetic moment (μB per atom): 0.0000

***

[6]
First-principles (GGA-PBE) data for Tc5Pd after structural relaxation, as listed in Alexandria via LeMat-Bulk.

a = 3.913 Å, b = 3.911 Å, c = 6.058 Å
α = 108.83°, β = 90.00°, γ = 90.00°
Atoms (fractional coordinates):
Tc 0.000 0.669 0.337
Tc 0.000 0.331 0.663
Tc 0.500 0.500 0.000
Tc 0.500 0.168 0.336
Tc 0.500 0.832 0.664
Pd 0.000 0.000 0.000

ΔE_f (eV per atom): 0.079
Uncorrected energy (eV per cell): -56.6
D(E_F) (states/eV/f.u.): 7.589
Total magnetic moment (μB per atom): 0.0000

***

Q: uncorrected energy of number 2 (TcPd)?
A: -30.9 eV per cell

***

Q: Among the records above, which one has the highest ΔE_f?
A: Tc4Pd

***

Q: Among the records above, which one has the highest D(E_F)?
A: Tc4Pd